Record 1
This record from Alexandria describes crystalline Y2AlGa2Pd5 at its relaxed geometry. The functional is PBE. Values from VASP.

Computed properties:
VASP energy (eV/atom): -5.641
Energy of formation (eV per formula unit): -7.722
Calculated volume (Å³ per cell): 356.7
Space-group type: P4/mbm

Structure (Quantum ESPRESSO input):
```
&SYSTEM
  ibrav = 0, nat = 20, ntyp = 4
/
ATOMIC_SPECIES
Y 88.91 Y.upf
Al 26.98 Al.upf
Ga 69.72 Ga.upf
Pd 106.42 Pd.upf
CELL_PARAMETERS angstrom
3.422 0.000 0.000
0.000 10.210 0.000
0.000 0.000 10.210
ATOMIC_POSITIONS crystal
Y 0.000 0.675 0.175
Y 0.000 0.325 0.825
Y 0.000 0.175 0.325
Y 0.000 0.825 0.675
Al 0.000 0.000 0.000
Al 0.000 0.500 0.500
Ga 0.000 0.128 0.628
Ga 0.000 0.872 0.372
Ga 0.000 0.628 0.872
Ga 0.000 0.372 0.128
Pd 0.500 0.198 0.050
Pd 0.500 0.802 0.950
Pd 0.500 0.050 0.802
Pd 0.500 0.698 0.450
Pd 0.500 0.950 0.198
Pd 0.500 0.302 0.550
Pd 0.500 0.550 0.698
Pd 0.500 0.450 0.302
Pd 0.500 0.500 0.000
Pd 0.500 0.000 0.500
```


Record 2
This record from Alexandria describes crystalline Y2AlGa3Pd4 at its relaxed geometry. The functional is PBE. Values from VASP.

Computed properties:
VASP energy (eV/atom): -5.467
Energy of formation (eV per formula unit): -8.144
Calculated volume (Å³ per cell): 186.0
Space-group type: P-4m2

Structure (Quantum ESPRESSO input):
```
&SYSTEM
  ibrav = 0, nat = 10, ntyp = 4
/
ATOMIC_SPECIES
Y 88.91 Y.upf
Al 26.98 Al.upf
Ga 69.72 Ga.upf
Pd 106.42 Pd.upf
CELL_PARAMETERS angstrom
-0.148 1.234 -3.873
2.381 -3.115 -1.083
-9.103 -6.373 -1.682
ATOMIC_POSITIONS crystal
Y 0.500 0.000 0.250
Y 0.000 0.500 0.750
Al 0.500 0.500 0.500
Ga 0.000 0.000 0.500
Ga 0.500 0.000 0.864
Ga 0.000 0.500 0.136
Pd 0.500 0.500 0.000
Pd 0.000 0.000 0.000
Pd 0.500 0.000 0.641
Pd 0.000 0.500 0.359
```


Record 3
This record from Alexandria describes crystalline YAl2GaPd4 at its relaxed geometry. The functional is PBE. Values from VASP.

Computed properties:
VASP energy (eV/atom): -5.526
Energy of formation (eV per formula unit): -6.464
Calculated volume (Å³ per cell): 136.8
Space-group type: R-3m

Structure (Quantum ESPRESSO input):
```
&SYSTEM
  ibrav = 0, nat = 8, ntyp = 4
/
ATOMIC_SPECIES
Y 88.91 Y.upf
Al 26.98 Al.upf
Ga 69.72 Ga.upf
Pd 106.42 Pd.upf
CELL_PARAMETERS angstrom
-3.357 1.601 -2.187
-3.621 -2.313 -0.391
-5.319 3.241 6.281
ATOMIC_POSITIONS crystal
Y 0.000 0.000 0.000
Al 0.757 0.757 0.729
Al 0.243 0.243 0.271
Ga 0.500 0.500 0.500
Pd 0.401 0.401 0.796
Pd 0.867 0.867 0.398
Pd 0.133 0.133 0.602
Pd 0.599 0.599 0.204
```


Record 4
This record from Alexandria describes crystalline YAl2GaPd2 at its relaxed geometry. The functional is PBE. Values from VASP.

Computed properties:
VASP energy (eV/atom): -4.764
Energy of formation (eV per formula unit): -1.224
Calculated volume (Å³ per cell): 119.7
Space-group type: P4/mmm

Structure (Quantum ESPRESSO input):
```
&SYSTEM
  ibrav = 0, nat = 6, ntyp = 4
/
ATOMIC_SPECIES
Y 88.91 Y.upf
Al 26.98 Al.upf
Ga 69.72 Ga.upf
Pd 106.42 Pd.upf
CELL_PARAMETERS angstrom
4.623 0.000 0.000
0.000 4.623 0.000
0.000 0.000 5.603
ATOMIC_POSITIONS crystal
Y 0.000 0.000 0.500
Al 0.500 0.000 0.000
Al 0.000 0.500 0.000
Ga 0.000 0.000 0.000
Pd 0.500 0.500 0.746
Pd 0.500 0.500 0.254
```


Record 5
This record from Alexandria describes crystalline Y2AlGa4Pd3 at its relaxed geometry. The functional is PBE. Values from VASP.

Computed properties:
VASP energy (eV/atom): -5.188
Energy of formation (eV per formula unit): -7.519
Calculated volume (Å³ per cell): 187.4
Space-group type: P-4m2

Structure (Quantum ESPRESSO input):
```
&SYSTEM
  ibrav = 0, nat = 10, ntyp = 4
/
ATOMIC_SPECIES
Y 88.91 Y.upf
Al 26.98 Al.upf
Ga 69.72 Ga.upf
Pd 106.42 Pd.upf
CELL_PARAMETERS angstrom
4.072 0.000 0.000
0.000 4.072 0.000
0.000 0.000 11.305
ATOMIC_POSITIONS crystal
Y 0.500 0.000 0.250
Y 0.000 0.500 0.750
Al 0.500 0.500 0.500
Ga 0.500 0.500 0.000
Ga 0.000 0.000 0.000
Ga 0.500 0.000 0.641
Ga 0.000 0.500 0.359
Pd 0.000 0.000 0.500
Pd 0.500 0.000 0.860
Pd 0.000 0.500 0.140
```


Record 6
This record from Alexandria describes crystalline YAlGa2Pd4 at its relaxed geometry. The functional is PBE. Values from VASP.

Computed properties:
VASP energy (eV/atom): -5.417
Energy of formation (eV per formula unit): -6.306
Calculated volume (Å³ per cell): 136.6
Space-group type: R-3m

Structure (Quantum ESPRESSO input):
```
&SYSTEM
  ibrav = 0, nat = 8, ntyp = 4
/
ATOMIC_SPECIES
Y 88.91 Y.upf
Al 26.98 Al.upf
Ga 69.72 Ga.upf
Pd 106.42 Pd.upf
CELL_PARAMETERS angstrom
4.333 0.000 0.000
2.166 3.752 0.000
2.166 1.251 8.401
ATOMIC_POSITIONS crystal
Y 0.000 0.000 0.000
Al 0.500 0.500 0.500
Ga 0.753 0.753 0.740
Ga 0.247 0.247 0.260
Pd 0.401 0.401 0.796
Pd 0.866 0.866 0.403
Pd 0.134 0.134 0.597
Pd 0.599 0.599 0.204
```


Record 7
This record from Alexandria describes crystalline Y2Al4GaPd3 at its relaxed geometry. The functional is PBE. Values from VASP.

Computed properties:
VASP energy (eV/atom): -5.435
Energy of formation (eV per formula unit): -7.849
Calculated volume (Å³ per cell): 188.1
Space-group type: P-4m2

Structure (Quantum ESPRESSO input):
```
&SYSTEM
  ibrav = 0, nat = 10, ntyp = 4
/
ATOMIC_SPECIES
Y 88.91 Y.upf
Al 26.98 Al.upf
Ga 69.72 Ga.upf
Pd 106.42 Pd.upf
CELL_PARAMETERS angstrom
4.215 0.000 0.000
0.000 4.215 0.000
0.000 0.000 10.589
ATOMIC_POSITIONS crystal
Y 0.500 0.000 0.250
Y 0.000 0.500 0.750
Al 0.500 0.500 0.000
Al 0.000 0.000 0.000
Al 0.500 0.000 0.639
Al 0.000 0.500 0.361
Ga 0.500 0.500 0.500
Pd 0.000 0.000 0.500
Pd 0.500 0.000 0.869
Pd 0.000 0.500 0.131
```


Record 8
This record from Alexandria describes crystalline Y2Al3GaPd4 at its relaxed geometry. The functional is PBE. Values from VASP.

Computed properties:
VASP energy (eV/atom): -5.646
Energy of formation (eV per formula unit): -8.507
Calculated volume (Å³ per cell): 187.1
Space-group type: P-4m2

Structure (Quantum ESPRESSO input):
```
&SYSTEM
  ibrav = 0, nat = 10, ntyp = 4
/
ATOMIC_SPECIES
Y 88.91 Y.upf
Al 26.98 Al.upf
Ga 69.72 Ga.upf
Pd 106.42 Pd.upf
CELL_PARAMETERS angstrom
-0.442 3.207 2.848
-3.852 0.962 -1.682
-4.403 -6.341 6.458
ATOMIC_POSITIONS crystal
Y 0.500 0.000 0.251
Y 0.000 0.500 0.749
Al 0.000 0.000 0.500
Al 0.500 0.000 0.874
Al 0.000 0.500 0.126
Ga 0.500 0.500 0.500
Pd 0.500 0.500 0.000
Pd 0.000 0.000 0.000
Pd 0.500 0.000 0.633
Pd 0.000 0.500 0.367
```


Record 9
This record from Alexandria describes crystalline YAlGa2Pd at its relaxed geometry. The functional is PBE. Values from VASP.

Computed properties:
VASP energy (eV/atom): -4.988
Energy of formation (eV per formula unit): -3.485
Calculated volume (Å³ per cell): 92.4
Space-group type: I-4m2

Structure (Quantum ESPRESSO input):
```
&SYSTEM
  ibrav = 0, nat = 5, ntyp = 4
/
ATOMIC_SPECIES
Y 88.91 Y.upf
Al 26.98 Al.upf
Ga 69.72 Ga.upf
Pd 106.42 Pd.upf
CELL_PARAMETERS angstrom
-3.125 0.178 2.589
-2.512 -1.226 -2.947
3.717 -4.809 1.631
ATOMIC_POSITIONS crystal
Y 0.000 0.000 0.000
Al 0.750 0.250 0.500
Ga 0.609 0.609 0.218
Ga 0.391 0.391 0.782
Pd 0.250 0.750 0.500
```


Record 10
This record from Alexandria describes crystalline Y2Al2GaPd5 at its relaxed geometry. The functional is PBE. Values from VASP.

Computed properties:
VASP energy (eV/atom): -5.704
Energy of formation (eV per formula unit): -7.636
Calculated volume (Å³ per cell): 356.8
Space-group type: P4/mbm

Structure (Quantum ESPRESSO input):
```
&SYSTEM
  ibrav = 0, nat = 20, ntyp = 4
/
ATOMIC_SPECIES
Y 88.91 Y.upf
Al 26.98 Al.upf
Ga 69.72 Ga.upf
Pd 106.42 Pd.upf
CELL_PARAMETERS angstrom
-1.510 1.991 -2.251
-3.463 -8.302 -5.020
-8.528 0.064 5.778
ATOMIC_POSITIONS crystal
Y 0.000 0.676 0.176
Y 0.000 0.324 0.824
Y 0.000 0.176 0.324
Y 0.000 0.824 0.676
Al 0.000 0.126 0.626
Al 0.000 0.874 0.374
Al 0.000 0.626 0.874
Al 0.000 0.374 0.126
Ga 0.000 0.000 0.000
Ga 0.000 0.500 0.500
Pd 0.500 0.200 0.052
Pd 0.500 0.800 0.948
Pd 0.500 0.052 0.800
Pd 0.500 0.700 0.448
Pd 0.500 0.948 0.200
Pd 0.500 0.300 0.552
Pd 0.500 0.552 0.700
Pd 0.500 0.448 0.300
Pd 0.500 0.500 0.000
Pd 0.500 0.000 0.500
```